# Th4InSbTe2 | Alexandria | PBE | optimized geometry
# E_tot   -6.1209 eV per atom
# N(E_F)   0.834 states/eV per atom
# Crystal system   monoclinic
# Formation energy (no corrections)   -0.768 eV per atom
# M_tot   0.00 μB/atom
data_Th4InSbTe2
_chemical_formula_sum 'Th4 In1 Sb1 Te2'
_cell_length_a 7.686
_cell_length_b 4.545
_cell_length_c 7.864
_cell_angle_alpha 90.00
_cell_angle_beta 109.98
_cell_angle_gamma 90.00
_symmetry_space_group_name_H-M 'P 1 2/m 1'
_symmetry_Int_Tables_number 10
loop_
_symmetry_equiv_pos_as_xyz
'x,y,z'
'-x,-y,-z'
'-x,y,-z'
'x,-y,z'
loop_
_atom_site_label
_atom_site_type_symbol
_atom_site_fract_x
_atom_site_fract_y
_atom_site_fract_z
Th1 Th 0.243 0.000 0.246
Th2 Th 0.245 0.500 0.750
In1 In 0.000 0.500 0.000
Sb1 Sb 0.000 0.000 0.500
Te1 Te 0.500 0.000 0.000
Te2 Te 0.500 0.500 0.500


# TiInSbTe2 | Alexandria | PBE | optimized geometry
# E_tot   -3.3820 eV per atom
# N(E_F)   1.677 states/eV per atom
# Crystal system   tetragonal
# Formation energy (no corrections)   0.826 eV per atom
# M_tot   0.33 μB/atom
data_TiInSbTe2
_chemical_formula_sum 'Ti1 In1 Sb1 Te2'
_cell_length_a 5.666
_cell_length_b 5.666
_cell_length_c 5.465
_cell_angle_alpha 90.00
_cell_angle_beta 90.00
_cell_angle_gamma 90.00
_symmetry_space_group_name_H-M 'P 4/m m m'
_symmetry_Int_Tables_number 123
_symmetry_space_group_name_Hall '-P 4 2'
loop_
_atom_site_label
_atom_site_type_symbol
_atom_site_fract_x
_atom_site_fract_y
_atom_site_fract_z
Ti1 Ti 0.000 0.000 0.000
In1 In 0.500 0.500 0.500
Sb1 Sb 0.500 0.500 0.000
Te1 Te 0.000 0.500 0.500


# TiInSbTe2 | Alexandria | PBE | optimized geometry
# E_tot   -4.3048 eV per atom
# N(E_F)   0.789 states/eV per atom
# Crystal system   tetragonal
# Formation energy (no corrections)   -0.097 eV per atom
# M_tot   0.00 μB/atom
data_TiInSbTe2
_chemical_formula_sum 'Ti1 In1 Sb1 Te2'
_cell_length_a 5.384
_cell_length_b 5.384
_cell_length_c 5.377
_cell_angle_alpha 90.00
_cell_angle_beta 90.00
_cell_angle_gamma 90.00
_symmetry_space_group_name_H-M 'P 4/m m m'
_symmetry_Int_Tables_number 123
_symmetry_space_group_name_Hall '-P 4 2'
loop_
_atom_site_label
_atom_site_type_symbol
_atom_site_fract_x
_atom_site_fract_y
_atom_site_fract_z
Ti1 Ti 0.000 0.000 0.000
In1 In 0.500 0.500 0.500
Sb1 Sb 0.000 0.000 0.500
Te1 Te 0.000 0.500 0.000


# TlInSbTe2 | Alexandria | PBE | optimized geometry
# E_tot   -2.5840 eV per atom
# N(E_F)   0.991 states/eV per atom
# Crystal system   tetragonal
# Formation energy (no corrections)   0.518 eV per atom
# M_tot   0.19 μB/atom
data_TlInSbTe2
_chemical_formula_sum 'Tl1 In1 Sb1 Te2'
_cell_length_a 5.892
_cell_length_b 5.892
_cell_length_c 5.690
_cell_angle_alpha 90.00
_cell_angle_beta 90.00
_cell_angle_gamma 90.00
_symmetry_space_group_name_H-M 'P 4/m m m'
_symmetry_Int_Tables_number 123
_symmetry_space_group_name_Hall '-P 4 2'
loop_
_atom_site_label
_atom_site_type_symbol
_atom_site_fract_x
_atom_site_fract_y
_atom_site_fract_z
Tl1 Tl 0.000 0.000 0.000
In1 In 0.500 0.500 0.500
Sb1 Sb 0.000 0.000 0.500
Te1 Te 0.000 0.500 0.000


# Tl2InSbTe5 | Alexandria | PBE | optimized geometry
# E_tot   -3.2218 eV per atom
# N(E_F)   0.360 states/eV per atom
# Crystal system   orthorhombic
# Formation energy (no corrections)   -0.188 eV per atom
# M_tot   0.00 μB/atom
data_Tl2InSbTe5
_chemical_formula_sum 'Tl8 In4 Sb4 Te20'
_cell_length_a 4.343
_cell_length_b 20.633
_cell_length_c 14.089
_cell_angle_alpha 90.00
_cell_angle_beta 90.00
_cell_angle_gamma 90.00
_symmetry_space_group_name_H-M 'C m c 21'
_symmetry_Int_Tables_number 36
loop_
_symmetry_equiv_pos_as_xyz
'x,y,z'
'-x,-y,z+1/2'
'-x,y,z'
'x,-y,z+1/2'
'x+1/2,y+1/2,z'
'-x+1/2,-y+1/2,z+1/2'
'-x+1/2,y+1/2,z'
'x+1/2,-y+1/2,z+1/2'
loop_
_atom_site_label
_atom_site_type_symbol
_atom_site_fract_x
_atom_site_fract_y
_atom_site_fract_z
Tl1 Tl 0.000 0.087 0.000
Tl2 Tl 0.000 0.116 0.654
In1 In 0.000 0.411 0.787
Sb1 Sb 0.000 0.245 0.398
Te1 Te 0.000 0.073 0.412
Te2 Te 0.000 0.244 0.055
Te3 Te 0.000 0.276 0.738
Te4 Te 0.000 0.380 0.344
Te5 Te 0.000 0.488 0.625


# Tl3InSb2Te6 | Alexandria | PBE | optimized geometry
# E_tot   -3.3300 eV per atom
# N(E_F)   0.011 states/eV per atom
# Crystal system   monoclinic
# Formation energy (no corrections)   -0.252 eV per atom
# M_tot   0.00 μB/atom
data_Tl3InSb2Te6
_chemical_formula_sum 'Tl6 In2 Sb4 Te12'
_cell_length_a 7.698
_cell_length_b 13.330
_cell_length_c 8.413
_cell_angle_alpha 90.00
_cell_angle_beta 107.80
_cell_angle_gamma 90.00
_symmetry_space_group_name_H-M 'C 1 2/m 1'
_symmetry_Int_Tables_number 12
loop_
_symmetry_equiv_pos_as_xyz
'x,y,z'
'-x,-y,-z'
'-x,y,-z'
'x,-y,z'
'x+1/2,y+1/2,z'
'-x+1/2,-y+1/2,-z'
'-x+1/2,y+1/2,-z'
'x+1/2,-y+1/2,z'
loop_
_atom_site_label
_atom_site_type_symbol
_atom_site_fract_x
_atom_site_fract_y
_atom_site_fract_z
Tl1 Tl 0.000 0.000 0.000
Tl2 Tl 0.000 0.332 0.000
In1 In 0.000 0.500 0.500
Sb1 Sb 0.000 0.167 0.500
Te1 Te 0.235 0.337 0.714
Te2 Te 0.245 0.000 0.716


# TlInSbTe2 | Alexandria | PBE | optimized geometry
# E_tot   -2.8160 eV per atom
# N(E_F)   0.899 states/eV per atom
# Crystal system   tetragonal
# Formation energy (no corrections)   0.286 eV per atom
# M_tot   0.12 μB/atom
data_TlInSbTe2
_chemical_formula_sum 'Tl1 In1 Sb1 Te2'
_cell_length_a 5.815
_cell_length_b 5.815
_cell_length_c 5.616
_cell_angle_alpha 90.00
_cell_angle_beta 90.00
_cell_angle_gamma 90.00
_symmetry_space_group_name_H-M 'P 4/m m m'
_symmetry_Int_Tables_number 123
_symmetry_space_group_name_Hall '-P 4 2'
loop_
_atom_site_label
_atom_site_type_symbol
_atom_site_fract_x
_atom_site_fract_y
_atom_site_fract_z
Tl1 Tl 0.000 0.000 0.000
In1 In 0.500 0.500 0.500
Sb1 Sb 0.500 0.500 0.000
Te1 Te 0.000 0.500 0.500


# Tm4InSbTe2 | Alexandria | PBE | optimized geometry
# E_tot   -4.8367 eV per atom
# N(E_F)   0.348 states/eV per atom
# Crystal system   monoclinic
# Formation energy (no corrections)   -0.958 eV per atom
# M_tot   0.00 μB/atom
data_Tm4InSbTe2
_chemical_formula_sum 'Tm4 In1 Sb1 Te2'
_cell_length_a 7.570
_cell_length_b 4.243
_cell_length_c 7.575
_cell_angle_alpha 90.00
_cell_angle_beta 108.60
_cell_angle_gamma 90.00
_symmetry_space_group_name_H-M 'P 1 2/m 1'
_symmetry_Int_Tables_number 10
loop_
_symmetry_equiv_pos_as_xyz
'x,y,z'
'-x,-y,-z'
'-x,y,-z'
'x,-y,z'
loop_
_atom_site_label
_atom_site_type_symbol
_atom_site_fract_x
_atom_site_fract_y
_atom_site_fract_z
Tm1 Tm 0.245 0.000 0.240
Tm2 Tm 0.250 0.500 0.764
In1 In 0.000 0.500 0.000
Sb1 Sb 0.500 0.000 0.000
Te1 Te 0.000 0.000 0.500
Te2 Te 0.500 0.500 0.500


# VInSb2Te | Alexandria | PBE | optimized geometry
# E_tot   -3.5388 eV per atom
# N(E_F)   1.734 states/eV per atom
# Crystal system   tetragonal
# Formation energy (no corrections)   1.110 eV per atom
# M_tot   0.66 μB/atom
data_VInSb2Te
_chemical_formula_sum 'V1 In1 Sb2 Te1'
_cell_length_a 5.513
_cell_length_b 5.513
_cell_length_c 5.693
_cell_angle_alpha 90.00
_cell_angle_beta 90.00
_cell_angle_gamma 90.00
_symmetry_space_group_name_H-M 'P 4/m m m'
_symmetry_Int_Tables_number 123
_symmetry_space_group_name_Hall '-P 4 2'
loop_
_atom_site_label
_atom_site_type_symbol
_atom_site_fract_x
_atom_site_fract_y
_atom_site_fract_z
V1 V 0.000 0.000 0.000
In1 In 0.500 0.500 0.500
Sb1 Sb 0.000 0.500 0.500
Te1 Te 0.500 0.500 0.000


# VInSbTe2 | Alexandria | PBE | optimized geometry
# E_tot   -4.3014 eV per atom
# N(E_F)   1.015 states/eV per atom
# Crystal system   tetragonal
# Formation energy (no corrections)   0.151 eV per atom
# M_tot   0.10 μB/atom
data_VInSbTe2
_chemical_formula_sum 'V1 In1 Sb1 Te2'
_cell_length_a 5.293
_cell_length_b 5.293
_cell_length_c 5.236
_cell_angle_alpha 90.00
_cell_angle_beta 90.00
_cell_angle_gamma 90.00
_symmetry_space_group_name_H-M 'P 4/m m m'
_symmetry_Int_Tables_number 123
_symmetry_space_group_name_Hall '-P 4 2'
loop_
_atom_site_label
_atom_site_type_symbol
_atom_site_fract_x
_atom_site_fract_y
_atom_site_fract_z
V1 V 0.000 0.000 0.000
In1 In 0.500 0.500 0.500
Sb1 Sb 0.000 0.000 0.500
Te1 Te 0.000 0.500 0.000


# VInSb2Te | Alexandria | PBE | optimized geometry
# E_tot   -4.4341 eV per atom
# N(E_F)   0.724 states/eV per atom
# Crystal system   tetragonal
# Formation energy (no corrections)   0.215 eV per atom
# M_tot   0.03 μB/atom
data_VInSb2Te
_chemical_formula_sum 'V1 In1 Sb2 Te1'
_cell_length_a 5.216
_cell_length_b 5.216
_cell_length_c 5.248
_cell_angle_alpha 90.00
_cell_angle_beta 90.00
_cell_angle_gamma 90.00
_symmetry_space_group_name_H-M 'P 4/m m m'
_symmetry_Int_Tables_number 123
_symmetry_space_group_name_Hall '-P 4 2'
loop_
_atom_site_label
_atom_site_type_symbol
_atom_site_fract_x
_atom_site_fract_y
_atom_site_fract_z
V1 V 0.000 0.000 0.000
In1 In 0.500 0.500 0.500
Sb1 Sb 0.000 0.500 0.000
Te1 Te 0.000 0.000 0.500


# VInSbTe2 | Alexandria | PBE | optimized geometry
# E_tot   -3.4605 eV per atom
# N(E_F)   1.700 states/eV per atom
# Crystal system   tetragonal
# Formation energy (no corrections)   0.992 eV per atom
# M_tot   0.59 μB/atom
data_VInSbTe2
_chemical_formula_sum 'V1 In1 Sb1 Te2'
_cell_length_a 5.672
_cell_length_b 5.672
_cell_length_c 5.484
_cell_angle_alpha 90.00
_cell_angle_beta 90.00
_cell_angle_gamma 90.00
_symmetry_space_group_name_H-M 'P 4/m m m'
_symmetry_Int_Tables_number 123
_symmetry_space_group_name_Hall '-P 4 2'
loop_
_atom_site_label
_atom_site_type_symbol
_atom_site_fract_x
_atom_site_fract_y
_atom_site_fract_z
V1 V 0.000 0.000 0.000
In1 In 0.500 0.500 0.500
Sb1 Sb 0.500 0.500 0.000
Te1 Te 0.000 0.500 0.500


# InSbTe2W | Alexandria | PBE | optimized geometry
# E_tot   -3.5720 eV per atom
# N(E_F)   0.980 states/eV per atom
# Crystal system   tetragonal
# Formation energy (no corrections)   1.647 eV per atom
# M_tot   0.62 μB/atom
data_InSbTe2W
_chemical_formula_sum 'In1 Sb1 Te2 W1'
_cell_length_a 5.581
_cell_length_b 5.581
_cell_length_c 5.471
_cell_angle_alpha 90.00
_cell_angle_beta 90.00
_cell_angle_gamma 90.00
_symmetry_space_group_name_H-M 'P 4/m m m'
_symmetry_Int_Tables_number 123
_symmetry_space_group_name_Hall '-P 4 2'
loop_
_atom_site_label
_atom_site_type_symbol
_atom_site_fract_x
_atom_site_fract_y
_atom_site_fract_z
In1 In 0.000 0.000 0.000
Sb1 Sb 0.000 0.000 0.500
Te1 Te 0.000 0.500 0.000
W1 W 0.500 0.500 0.500


# InSbTe2W | Alexandria | PBE | optimized geometry
# E_tot   -4.7313 eV per atom
# N(E_F)   0.880 states/eV per atom
# Crystal system   tetragonal
# Formation energy (no corrections)   0.488 eV per atom
# M_tot   0.00 μB/atom
data_InSbTe2W
_chemical_formula_sum 'In1 Sb1 Te2 W1'
_cell_length_a 5.405
_cell_length_b 5.405
_cell_length_c 5.300
_cell_angle_alpha 90.00
_cell_angle_beta 90.00
_cell_angle_gamma 90.00
_symmetry_space_group_name_H-M 'P 4/m m m'
_symmetry_Int_Tables_number 123
_symmetry_space_group_name_Hall '-P 4 2'
loop_
_atom_site_label
_atom_site_type_symbol
_atom_site_fract_x
_atom_site_fract_y
_atom_site_fract_z
In1 In 0.000 0.000 0.000
Sb1 Sb 0.500 0.500 0.000
Te1 Te 0.000 0.500 0.500
W1 W 0.500 0.500 0.500


# Y8InSb3Te4 | Alexandria | PBE | optimized geometry
# E_tot   -6.1486 eV per atom
# N(E_F)   0.170 states/eV per atom
# Crystal system   trigonal
# Formation energy (no corrections)   -1.187 eV per atom
# M_tot   0.00 μB/atom
data_Y8InSb3Te4
_chemical_formula_sum 'Y24 In3 Sb9 Te12'
_cell_length_a 8.7733
_cell_length_b 8.7733
_cell_length_c 21.5152
_cell_angle_alpha 90.00
_cell_angle_beta 90.00
_cell_angle_gamma 120.00
_symmetry_space_group_name_H-M 'R -3 m'
_symmetry_Int_Tables_number 166
_symmetry_space_group_name_Hall '-R 3 2"'
loop_
_atom_site_label
_atom_site_type_symbol
_atom_site_fract_x
_atom_site_fract_y
_atom_site_fract_z
Y1 Y 0.0000 0.0000 0.2461
Y2 Y 0.0038 0.5019 0.2462
In1 In 0.0000 0.0000 0.5000
Sb1 Sb 0.0000 0.5000 0.5000
Te1 Te 0.0000 0.0000 0.0000
Te2 Te 0.0000 0.5000 0.0000


# ZnInSb2Te | Alexandria | PBE | optimized geometry
# E_tot   -2.7071 eV per atom
# N(E_F)   0.710 states/eV per atom
# Crystal system   tetragonal
# Formation energy (no corrections)   0.373 eV per atom
# M_tot   0.00 μB/atom
data_ZnInSb2Te
_chemical_formula_sum 'Zn1 In1 Sb2 Te1'
_cell_length_a 5.222
_cell_length_b 5.222
_cell_length_c 5.632
_cell_angle_alpha 90.00
_cell_angle_beta 90.00
_cell_angle_gamma 90.00
_symmetry_space_group_name_H-M 'P 4/m m m'
_symmetry_Int_Tables_number 123
_symmetry_space_group_name_Hall '-P 4 2'
loop_
_atom_site_label
_atom_site_type_symbol
_atom_site_fract_x
_atom_site_fract_y
_atom_site_fract_z
Zn1 Zn 0.000 0.000 0.000
In1 In 0.500 0.500 0.500
Sb1 Sb 0.000 0.500 0.000
Te1 Te 0.000 0.000 0.500


# ZnInSb2Te | Alexandria | PBE | optimized geometry
# E_tot   -2.3052 eV per atom
# N(E_F)   1.157 states/eV per atom
# Crystal system   tetragonal
# Formation energy (no corrections)   0.775 eV per atom
# M_tot   0.00 μB/atom
data_ZnInSb2Te
_chemical_formula_sum 'Zn1 In1 Sb2 Te1'
_cell_length_a 5.675
_cell_length_b 5.675
_cell_length_c 5.715
_cell_angle_alpha 90.00
_cell_angle_beta 90.00
_cell_angle_gamma 90.00
_symmetry_space_group_name_H-M 'P 4/m m m'
_symmetry_Int_Tables_number 123
_symmetry_space_group_name_Hall '-P 4 2'
loop_
_atom_site_label
_atom_site_type_symbol
_atom_site_fract_x
_atom_site_fract_y
_atom_site_fract_z
Zn1 Zn 0.000 0.000 0.000
In1 In 0.500 0.500 0.500
Sb1 Sb 0.000 0.500 0.500
Te1 Te 0.500 0.500 0.000


# ThIn2Sb | Alexandria | PBE | optimized geometry
# E_tot   -4.0424 eV per atom
# N(E_F)   0.731 states/eV per atom
# Crystal system   trigonal
# Formation energy (no corrections)   0.212 eV per atom
# M_tot   0.00 μB/atom
data_ThIn2Sb
_chemical_formula_sum 'Th3 In6 Sb3'
_cell_length_a 3.3646
_cell_length_b 3.3646
_cell_length_c 36.6827
_cell_angle_alpha 90.00
_cell_angle_beta 90.00
_cell_angle_gamma 120.00
_symmetry_space_group_name_H-M 'R -3 m'
_symmetry_Int_Tables_number 166
_symmetry_space_group_name_Hall '-R 3 2"'
loop_
_atom_site_label
_atom_site_type_symbol
_atom_site_fract_x
_atom_site_fract_y
_atom_site_fract_z
Th1 Th 0.0000 0.0000 0.0000
In1 In 0.0000 0.0000 0.0904
Sb1 Sb 0.0000 0.0000 0.5000


# Th2InSb3 | Alexandria | PBE | optimized geometry
# E_tot   -5.6808 eV per atom
# N(E_F)   0.365 states/eV per atom
# Crystal system   tetragonal
# Formation energy (no corrections)   -0.690 eV per atom
# M_tot   0.00 μB/atom
data_Th2InSb3
_chemical_formula_sum 'Th2 In1 Sb3'
_cell_length_a 4.464
_cell_length_b 4.464
_cell_length_c 8.899
_cell_angle_alpha 90.00
_cell_angle_beta 90.00
_cell_angle_gamma 90.00
_symmetry_space_group_name_H-M 'P -4 m 2'
_symmetry_Int_Tables_number 115
loop_
_symmetry_equiv_pos_as_xyz
'x,y,z'
'y,-x,-z'
'-x,-y,z'
'-y,x,-z'
'-x,y,z'
'-y,-x,-z'
'x,-y,z'
'y,x,-z'
loop_
_atom_site_label
_atom_site_type_symbol
_atom_site_fract_x
_atom_site_fract_y
_atom_site_fract_z
Th1 Th 0.000 0.500 0.212
In1 In 0.000 0.000 0.500
Sb1 Sb 0.000 0.500 0.846
Sb2 Sb 0.500 0.500 0.500


# Th2InSb | Alexandria | PBE | optimized geometry
# E_tot   -5.8808 eV per atom
# N(E_F)   0.622 states/eV per atom
# Crystal system   trigonal
# Formation energy (no corrections)   -0.456 eV per atom
# M_tot   0.00 μB/atom
data_Th2InSb
_chemical_formula_sum 'Th6 In3 Sb3'
_cell_length_a 4.5133
_cell_length_b 4.5133
_cell_length_c 22.2350
_cell_angle_alpha 90.00
_cell_angle_beta 90.00
_cell_angle_gamma 120.00
_symmetry_space_group_name_H-M 'R -3 m'
_symmetry_Int_Tables_number 166
_symmetry_space_group_name_Hall '-R 3 2"'
loop_
_atom_site_label
_atom_site_type_symbol
_atom_site_fract_x
_atom_site_fract_y
_atom_site_fract_z
Th1 Th 0.0000 0.0000 0.2494
In1 In 0.0000 0.0000 0.5000
Sb1 Sb 0.0000 0.0000 0.0000